# 1
## UCoB (PBE-GGA)

Data for a relaxed structure of UCoB.

Calculated values
Excess energy over the best structure of this formula in the dataset (eV/atom): 0.000
SG: No. 11
D(E_F) (states/eV/cell): 7.91

Cell: 3.696 3.518 5.940 Å, 90.00 97.46 90.00°
Positions (direct):
U: 0.178 0.250 0.129
U: 0.822 0.750 0.871
Co: 0.171 0.250 0.636
Co: 0.829 0.750 0.364
B: 0.358 0.750 0.495
B: 0.642 0.250 0.505



# 2
## UCoB2 (PBE-GGA)

Data for a relaxed structure of UCoB2.

Calculated values
Excess energy over the best structure of this formula in the dataset (eV/atom): 0.010
SG: No. 63
D(E_F) (states/eV/cell): 18.06

Cell: 3.606 9.913 5.111 Å, 90.00 90.00 90.00°
Positions (direct):
U: 0.000 0.057 0.250
U: 0.000 0.943 0.750
U: 0.500 0.443 0.750
U: 0.500 0.557 0.250
Co: 0.000 0.225 0.750
Co: 0.000 0.775 0.250
Co: 0.500 0.275 0.250
Co: 0.500 0.725 0.750
B: 0.000 0.343 0.085
B: 0.000 0.343 0.415
B: 0.000 0.657 0.585
B: 0.000 0.657 0.915
B: 0.500 0.157 0.585
B: 0.500 0.157 0.915
B: 0.500 0.843 0.085
B: 0.500 0.843 0.415



# 3
## UCoB (PBE-GGA)

Data for a relaxed structure of UCoB.

Calculated values
Excess energy over the best structure of this formula in the dataset (eV/atom): 0.227
SG: No. 107
D(E_F) (states/eV/cell): 7.33

Cell: 2.733 2.733 9.912 Å, 90.00 90.00 90.00°
Positions (direct):
U: 0.000 0.000 0.000
U: 0.500 0.500 0.500
Co: 0.000 0.000 0.279
Co: 0.500 0.500 0.779
B: 0.000 0.000 0.697
B: 0.500 0.500 0.197



# 4
## UCo4B (PBE-GGA)

Data for a relaxed structure of UCo4B.

Calculated values
Excess energy over the best structure of this formula in the dataset (eV/atom): 0.000
SG: No. 191
D(E_F) (states/eV/cell): 13.97

Cell: 4.879 4.879 6.933 Å, 90.00 90.00 120.00°
Positions (direct):
U: 0.000 0.000 0.000
U: 0.000 0.000 0.500
Co: 0.000 0.500 0.211
Co: 0.000 0.500 0.789
Co: 0.333 0.667 0.500
Co: 0.500 0.000 0.211
Co: 0.500 0.000 0.789
Co: 0.500 0.500 0.211
Co: 0.500 0.500 0.789
Co: 0.667 0.333 0.500
B: 0.333 0.667 0.000
B: 0.667 0.333 0.000



What is the D(E_F) in the third record?
7.33 states/eV/cell